Entry from Alexandria via LeMat-Bulk: a relaxed structure of PrNd2Sc (GGA-PBE).

Values from the calculation:
- Size of the total moment: 0.000 μB/f.u.
- DFT formation energy: 0.143 eV per atom
- Electronic total energy: -5.02 eV per atom
- Density: 6.0 g/cm3
- Excess energy over the best structure of this formula in the dataset: 0.105 eV/atom

```
data_PrNd2Sc
_chemical_formula_sum 'Pr4 Nd8 Sc4'
_space_group_name_H-M_alt 'F m -3 m'
_space_group_IT_number 225
_space_group_name_Hall '-F 4 2 3'
_cell_length_a 8.059
_cell_length_b 8.059
_cell_length_c 8.059
_cell_angle_alpha 90.00
_cell_angle_beta 90.00
_cell_angle_gamma 90.00
loop_
_atom_site_label
_atom_site_type_symbol
_atom_site_fract_x
_atom_site_fract_y
_atom_site_fract_z
Pr1 Pr 0.000 0.000 0.000
Nd1 Nd 0.250 0.250 0.250
Sc1 Sc 0.000 0.000 0.500
```